DFT (PBE) results for a geometry-optimized TaBi3C structure.

Calculated formation energy ... 7.04 eV/f.u.
Energy above the most stable polymorph in this dataset ... 0.0 meV per atom

a = 4.887 Å, b = 4.887 Å, c = 4.887 Å
α = 90.00°, β = 90.00°, γ = 90.00°
Fractional positions:
C 0.000 0.000 0.000
Bi 0.000 0.500 0.000
Bi 0.000 0.000 0.500
Bi 0.500 0.000 0.000
Ta 0.500 0.500 0.500


DFT (PBE) results for a geometry-optimized PrNdH structure.

Energy above the most stable polymorph in this dataset ... 0.0 meV per atom

a = 3.665 Å, b = 3.665 Å, c = 5.225 Å
α = 90.00°, β = 90.00°, γ = 90.00°
Fractional positions:
Pr 0.000 0.000 0.000
Nd 0.500 0.500 0.500
H 0.500 0.500 0.000


DFT (PBE) results for a geometry-optimized As2RhSe structure.

Energy relative to the elements, uncorrected ... 0.248 eV per atom

a = 4.670 Å, b = 4.670 Å, c = 3.356 Å
α = 90.00°, β = 90.00°, γ = 105.95°
Fractional positions:
As 0.000 0.000 0.000
As 0.500 0.500 0.000
Rh 0.500 0.000 0.500
Se 0.000 0.500 0.500


DFT (PBE) results for a geometry-optimized Pu4Ge3H2 structure.

Energy above the most stable polymorph in this dataset ... 107.6 meV per atom

a = 3.860 Å, b = 5.638 Å, c = 7.465 Å
α = 93.24°, β = 90.00°, γ = 110.02°
Fractional positions:
Pu 0.736 0.473 0.091
Pu 0.264 0.527 0.909
Pu 0.878 0.757 0.589
Pu 0.122 0.243 0.411
Ge 0.577 0.154 0.739
Ge 0.000 0.000 0.000
Ge 0.423 0.846 0.261
H 0.719 0.438 0.380
H 0.281 0.562 0.620


DFT (PBE) results for a geometry-optimized ZnSBr2 structure.

Energy above the most stable polymorph in this dataset ... 0.0 meV per atom
Energy relative to the elements, uncorrected ... 0.121 eV per atom

a = 8.266 Å, b = 8.266 Å, c = 8.266 Å
α = 27.67°, β = 27.67°, γ = 27.67°
Fractional positions:
Zn 0.500 0.500 0.500
S 0.000 0.000 0.000
Br 0.896 0.896 0.896
Br 0.104 0.104 0.104


DFT (PBE) results for a geometry-optimized Ac2NpNi3Pt12 structure.

Calculated formation energy ... -1.78 eV/f.u.

a = 8.319 Å, b = 8.319 Å, c = 8.319 Å
α = 57.66°, β = 57.66°, γ = 57.66°
Fractional positions:
Ac 0.617 0.617 0.617
Ac 0.383 0.383 0.383
Np 0.000 0.000 0.000
Ni 0.500 0.000 0.000
Ni 0.000 0.500 0.000
Ni 0.000 0.000 0.500
Pt 0.368 0.368 0.871
Pt 0.875 0.875 0.395
Pt 0.395 0.875 0.875
Pt 0.871 0.368 0.368
Pt 0.875 0.395 0.875
Pt 0.368 0.871 0.368
Pt 0.632 0.632 0.129
Pt 0.125 0.125 0.605
Pt 0.605 0.125 0.125
Pt 0.129 0.632 0.632
Pt 0.125 0.605 0.125
Pt 0.632 0.129 0.632


DFT (PBE) results for a geometry-optimized PmMg3Au2 structure.

Calculated formation energy ... -3.12 eV/f.u.
Energy above the most stable polymorph in this dataset ... 57.2 meV per atom

a = 4.332 Å, b = 8.927 Å, c = 8.705 Å
α = 121.02°, β = 90.00°, γ = 104.04°
Fractional positions:
Pm 0.871 0.742 0.910
Pm 0.129 0.258 0.090
Mg 0.318 0.636 0.535
Mg 0.962 0.924 0.617
Mg 0.636 0.272 0.773
Mg 0.364 0.728 0.227
Mg 0.038 0.076 0.383
Mg 0.682 0.364 0.465
Au 0.493 0.986 0.830
Au 0.507 0.014 0.170
Au 0.784 0.569 0.295
Au 0.216 0.431 0.705


DFT (PBE) results for a geometry-optimized Be2RhAu structure.

Calculated formation energy ... -0.76 eV/f.u.
Energy above the most stable polymorph in this dataset ... 276.0 meV per atom

a = 3.981 Å, b = 3.981 Å, c = 4.801 Å
α = 76.07°, β = 76.07°, γ = 43.21°
Fractional positions:
Rh 0.750 0.750 0.750
Au 0.250 0.250 0.250
Be 0.005 0.005 0.954
Be 0.495 0.495 0.546